Below is crystalline Zr2AlNi at its relaxed geometry, with properties calculated at the PBE level.

abc: 4.2336 4.2336 9.7125
angles: 90.00 90.00 120.00
Closest atoms and distances in Å follow each position.
Space group P6_3/mmc (No. 194)
Inequivalent atoms, fractional coordinates:
Zr (0.3333, 0.6667, 0.0977)  3 Al 2.86, 3 Ni 2.86, 4 Zr 2.96-3.09
Al (0.0000, 0.0000, 0.2500)  3 Ni 2.44
Ni (0.3333, 0.6667, 0.7500)  3 Al 2.44

Calculated values
The value obtained for the density is 5.906 g cm⁻³. The calculation puts the formation energy at -0.186 eV/atom. The calculation puts the total magnetization at 0.98 μB/cell.

Below is crystalline Zr2AlNi2 at its relaxed geometry, with properties calculated at the PBE level.

abc: 3.2755 3.2755 16.4082
angles: 90.00 90.00 90.00
Closest atoms and distances in Å follow each position.
Space group I4/mmm (No. 139)
Inequivalent atoms, fractional coordinates:
Zr (0.0000, 0.0000, 0.1203)  4 Ni 2.69
Al (0.0000, 0.0000, 0.5000)  8 Zr 3.04, 4 Al 3.28
Ni (0.0000, 0.5000, 0.2500)  4 Ni 2.32

Calculated values
The value obtained for the density is 6.165 g cm⁻³. The calculation puts the formation energy at -0.194 eV/atom. The calculation puts the total magnetization at 0.00 μB/cell.

V? In order: 150.8; 176.0 Å³/cell.